1.
Entry from the Alexandria database: PrMg3Cd3 after structural relaxation (PBE-GGA).

The structure belongs to space group Pm-3n (No. 223); the cell edges are 7.534, 7.534 and 7.534 Å and the angles 90.00°, 90.00° and 90.00°. The asymmetric unit holds Pr at (0.000, 0.000, 0.000), Mg at (0.000, 0.250, 0.500) and Cd at (0.000, 0.500, 0.250).

The value obtained for the formation energy is 0.35 eV/atom. The calculation puts the density of states at the Fermi level at 8.91 states/eV/cell. As for the total energy: -1.404 eV per atom.

---

2.
Entry from the Alexandria database: LiGeMo2Ru after structural relaxation (PBE-GGA).

The structure belongs to space group P4/mmm (No. 123); the cell edges are 4.884, 4.884 and 4.785 Å and the angles 90.00°, 90.00° and 90.00°. The asymmetric unit holds Li at (0.000, 0.000, 0.000), Ge at (0.500, 0.500, 0.000), Mo at (0.000, 0.500, 0.500) and Ru at (0.500, 0.500, 0.500).

The value obtained for the formation energy is 1.20 eV/atom. The calculation puts the density of states at the Fermi level at 4.66 states/eV/cell. As for the total energy: -6.296 eV per atom.

---

3.
Entry from the Alexandria database: Tl2RuBr4Cl2 after structural relaxation (PBE-GGA).

The structure belongs to space group C2/m (No. 12); the cell edges are 12.303, 7.369 and 7.524 Å and the angles 90.00°, 127.02° and 90.00°. The asymmetric unit holds Tl at (0.250, 0.000, 0.234), Ru at (0.000, 0.000, 0.500), Br at (0.029, 0.240, 0.295) and Cl at (0.235, 0.000, 0.783).

The calculation puts the density of states at the Fermi level at 10.59 states/eV/cell. As for the total energy: -3.327 eV per atom. The value obtained for the energy relative to the elements, uncorrected is -0.6165 eV per atom.

---

4.
Entry from the Alexandria database: Y12ErTm3 after structural relaxation (PBE-GGA).

The structure belongs to space group P4/mmm (No. 123); the cell edges are 5.023, 5.023 and 20.093 Å and the angles 90.00°, 90.00° and 90.00°. The asymmetric unit holds Y at (0.000, 0.000, 0.000), Y at (0.000, 0.000, 0.250), Y at (0.000, 0.000, 0.500), Y at (0.000, 0.500, 0.125), Y at (0.000, 0.500, 0.375), Er at (0.500, 0.500, 0.000), Tm at (0.500, 0.500, 0.250) and Tm at (0.500, 0.500, 0.500).

The value obtained for the formation energy is 0.03 eV/atom. The calculation puts the density of states at the Fermi level at 22.73 states/eV/cell. As for the total energy: -5.945 eV per atom.

---

5.
Entry from the Alexandria database: MgRe2SiAg after structural relaxation (PBE-GGA).

The structure belongs to space group P4/mmm (No. 123); the cell edges are 4.899, 4.899 and 4.593 Å and the angles 90.00°, 90.00° and 90.00°. The asymmetric unit holds Mg at (0.000, 0.000, 0.000), Re at (0.000, 0.500, 0.500), Si at (0.500, 0.500, 0.000) and Ag at (0.000, 0.000, 0.500).

The calculation puts the density of states at the Fermi level at 3.77 states/eV/cell. As for the total energy: -4.718 eV per atom. The value obtained for the energy relative to the elements, uncorrected is 2.2347 eV per atom.

---

6.
Entry from the Alexandria database: Pm4GeRu after structural relaxation (PBE-GGA).

The structure belongs to space group P2_1/c (No. 14); the cell edges are 7.256, 7.109 and 7.016 Å and the angles 90.00°, 92.33° and 90.00°. The asymmetric unit holds Pm at (0.156, 0.163, 0.176), Pm at (0.320, 0.660, 0.149), Ge at (0.500, 0.000, 0.000) and Ru at (0.000, 0.000, 0.500).

The calculation puts the polymorph energy (0 for the lowest one) at 96.9 meV/atom. The value obtained for the formation energy is -0.32 eV/atom. The calculation puts the density of states at the Fermi level at 13.86 states/eV/cell. As for the total energy: -5.802 eV per atom.

---

7.
Entry from the Alexandria database: TiCoC3 after structural relaxation (PBE-GGA).

The structure belongs to space group Pm-3m (No. 221); the cell edges are 3.689, 3.689 and 3.689 Å and the angles 90.00°, 90.00° and 90.00°. The asymmetric unit holds Ti at (0.000, 0.000, 0.000), Co at (0.500, 0.500, 0.500) and C at (0.000, 0.500, 0.500).

The calculation puts the polymorph energy (0 for the lowest one) at 0.0 meV/atom. The value obtained for the formation energy is 1.62 eV/atom. The calculation puts the density of states at the Fermi level at 5.45 states/eV/cell. As for the total energy: -6.914 eV per atom.

---

8.
Entry from the Alexandria database: Y2Tm3In3 after structural relaxation (PBE-GGA).

The structure belongs to space group Pmmm (No. 47); the cell edges are 4.885, 4.889 and 9.074 Å and the angles 90.00°, 90.00° and 90.00°. The asymmetric unit holds Y at (0.000, 0.000, 0.238), Tm at (0.000, 0.500, 0.500), Tm at (0.500, 0.500, 0.237), In at (0.000, 0.500, 0.000), In at (0.500, 0.000, 0.000) and In at (0.500, 0.000, 0.500).

The value obtained for the formation energy is -0.35 eV/atom. The calculation puts the density of states at the Fermi level at 6.96 states/eV/cell. As for the total energy: -4.666 eV per atom.

---

9.
Entry from the Alexandria database: LiCd3In12 after structural relaxation (PBE-GGA).

The structure belongs to space group P4/mmm (No. 123); the cell edges are 4.697, 4.697 and 18.484 Å and the angles 90.00°, 90.00° and 90.00°. The asymmetric unit holds Li at (0.000, 0.000, 0.000), Cd at (0.000, 0.000, 0.245), Cd at (0.000, 0.000, 0.500), In at (0.000, 0.500, 0.119), In at (0.000, 0.500, 0.372), In at (0.500, 0.500, 0.000), In at (0.500, 0.500, 0.245) and In at (0.500, 0.500, 0.500).

The value obtained for the formation energy is -0.02 eV/atom. The calculation puts the density of states at the Fermi level at 4.69 states/eV/cell. As for the total energy: -2.360 eV per atom.

---

10.
Entry from the Alexandria database: NaCoSe2N after structural relaxation (PBE-GGA).

The structure belongs to space group P4/mmm (No. 123); the cell edges are 5.140, 5.140 and 4.239 Å and the angles 90.00°, 90.00° and 90.00°. The asymmetric unit holds Na at (0.000, 0.000, 0.000), Co at (0.500, 0.500, 0.500), Se at (0.000, 0.500, 0.000) and N at (0.000, 0.000, 0.500).

The calculation puts the polymorph energy (0 for the lowest one) at 1636.2 meV/atom. The calculation puts the density of states at the Fermi level at 7.09 states/eV/cell. As for the total energy: -3.083 eV per atom. The value obtained for the energy relative to the elements, uncorrected is 1.6606 eV per atom.

---

11.
Entry from the Alexandria database: LiCo2Ag after structural relaxation (PBE-GGA).

The structure belongs to space group R3m (No. 160, hexagonal axes); the cell edges are 2.6519, 2.6519 and 26.3703 Å and the angles 90.00°, 90.00° and 120.00°. The asymmetric unit holds Li at (0.0000, 0.0000, 0.0000), Co at (0.0000, 0.0000, 0.2515), Co at (0.0000, 0.0000, 0.5139) and Ag at (0.0000, 0.0000, 0.7570).

The value obtained for the formation energy is 0.19 eV/atom. The calculation puts the density of states at the Fermi level at 9.31 states/eV/cell. As for the total energy: -4.549 eV per atom.

---

12.
Entry from the Alexandria database: Y4TcPd after structural relaxation (PBE-GGA).

The structure belongs to space group P-1 (No. 2); the cell edges are 6.441, 7.628 and 7.925 Å and the angles 113.92°, 108.54° and 100.41°. The asymmetric unit holds Y at (0.011, 0.233, 0.372), Y at (0.201, 0.298, 0.849), Y at (0.352, 0.950, 0.151), Y at (0.362, 0.639, 0.372), Tc at (0.252, 0.002, 0.504) and Pd at (0.385, 0.635, 0.771).

The value obtained for the formation energy is -0.35 eV/atom. The calculation puts the density of states at the Fermi level at 9.44 states/eV/cell. As for the total energy: -7.257 eV per atom.

---

13.
Entry from the Alexandria database: TaNiAs2 after structural relaxation (PBE-GGA).

The structure belongs to space group Amm2 (No. 38); the cell edges are 3.474, 3.544 and 10.567 Å and the angles 90.00°, 90.00° and 90.00°. The asymmetric unit holds Ta at (0.000, 0.000, 0.000), Ni at (0.500, 0.000, 0.809), As at (0.000, 0.000, 0.298) and As at (0.500, 0.000, 0.587).

The value obtained for the formation energy is -0.28 eV/atom. The calculation puts the density of states at the Fermi level at 4.88 states/eV/cell. As for the total energy: -7.008 eV per atom.

---

14.
Entry from the Alexandria database: AlWAu2 after structural relaxation (PBE-GGA).

The structure belongs to space group I4/mmm (No. 139); the cell edges are 4.050, 4.050 and 8.151 Å and the angles 90.00°, 90.00° and 90.00°. The asymmetric unit holds Al at (0.000, 0.000, 0.000), W at (0.000, 0.000, 0.500) and Au at (0.000, 0.500, 0.250).

The value obtained for the formation energy is 0.31 eV/atom. The calculation puts the density of states at the Fermi level at 6.13 states/eV/cell. As for the total energy: -5.503 eV per atom.

---

15.
Entry from the Alexandria database: Er3Sb2Se after structural relaxation (PBE-GGA).

The structure belongs to space group Cmcm (No. 63); the cell edges are 15.409, 8.770 and 5.969 Å and the angles 90.00°, 90.00° and 90.00°. The asymmetric unit holds Er at (0.000, 0.158, 0.250), Er at (0.160, 0.327, 0.750), Sb at (0.166, 0.329, 0.250) and Se at (0.000, 0.162, 0.750).

The calculation puts the polymorph energy (0 for the lowest one) at 252.9 meV/atom. The calculation puts the density of states at the Fermi level at 14.70 states/eV/cell. As for the total energy: -5.294 eV per atom. The value obtained for the energy relative to the elements, uncorrected is -1.0573 eV per atom.

---

16.
Entry from the Alexandria database: Sb3Cl after structural relaxation (PBE-GGA).

The structure belongs to space group Imm2 (No. 44); the cell edges are 3.174, 8.304 and 10.104 Å and the angles 90.00°, 90.00° and 90.00°. The asymmetric unit holds Sb at (0.000, 0.000, 0.000), Sb at (0.000, 0.186, 0.761) and Cl at (0.000, 0.500, 0.847).

The calculation puts the polymorph energy (0 for the lowest one) at 8.0 meV/atom. The calculation puts the density of states at the Fermi level at 1.90 states/eV/cell. As for the total energy: -3.601 eV per atom. The value obtained for the energy relative to the elements, uncorrected is -0.0479 eV per atom.

---

17.
Entry from the Alexandria database: LiYZnCo after structural relaxation (PBE-GGA).

The structure belongs to space group F-43m (No. 216); the cell edges are 6.409, 6.409 and 6.409 Å and the angles 90.00°, 90.00° and 90.00°. The asymmetric unit holds Li at (0.000, 0.000, 0.000), Y at (0.250, 0.250, 0.750), Zn at (0.250, 0.250, 0.250) and Co at (0.000, 0.000, 0.500).

The value obtained for the formation energy is -0.06 eV/atom. The calculation puts the density of states at the Fermi level at 9.99 states/eV/cell. As for the total energy: -4.246 eV per atom.

---

18.
Entry from the Alexandria database: BaTaAs4 after structural relaxation (PBE-GGA).

The structure belongs to space group F-43m (No. 216); the cell edges are 8.169, 8.169 and 8.169 Å and the angles 90.00°, 90.00° and 90.00°. The asymmetric unit holds Ba at (0.000, 0.000, 0.000), Ta at (0.250, 0.250, 0.750) and As at (0.121, 0.121, 0.379).

The value obtained for the formation energy is 0.40 eV/atom. The calculation puts the density of states at the Fermi level at 15.03 states/eV/cell. As for the total energy: -4.992 eV per atom.

---

19.
Entry from the Alexandria database: SbH4 after structural relaxation (PBE-GGA).

The structure belongs to space group Pm-3m (No. 221); the cell edges are 3.781, 3.781 and 3.781 Å and the angles 90.00°, 90.00° and 90.00°. The asymmetric unit holds Sb at (0.000, 0.000, 0.000), H at (0.000, 0.000, 0.500) and H at (0.500, 0.500, 0.500).

The calculation puts the polymorph energy (0 for the lowest one) at 109.3 meV/atom. The calculation puts the density of states at the Fermi level at 0.84 states/eV/cell. As for the total energy: -2.746 eV per atom.

---

20.
Entry from the Alexandria database: Li8NiPd2 after structural relaxation (PBE-GGA).

The structure belongs to space group C2/m (No. 12); the cell edges are 13.531, 5.155 and 4.897 Å and the angles 90.00°, 92.27° and 90.00°. The asymmetric unit holds Li at (0.091, 0.239, 0.403), Li at (0.093, 0.500, 0.910), Li at (0.195, 0.000, 0.892), Ni at (0.000, 0.000, 0.000) and Pd at (0.241, 0.500, 0.595).

The calculation puts the polymorph energy (0 for the lowest one) at 47.8 meV/atom. The value obtained for the formation energy is -0.11 eV/atom. The calculation puts the density of states at the Fermi level at 7.00 states/eV/cell. As for the total energy: -2.974 eV per atom.